Entry 1:
## LaTbY2 (GGA-PBE)

Data for LaTbY2 after structural relaxation.

Cell: 3.6212 3.6212 10.2025 Å, 90.00 90.00 90.00°
Positions (direct):
Y 0.0000 0.0000 0.7569
Y 0.0000 0.0000 0.2431
Tb 0.5000 0.5000 0.0000
La 0.5000 0.5000 0.5000

Values from the calculation:
- Formation enthalpy at 0 K: 0.0303 eV per atom
- Crystal system: tetragonal
- Space group: No. 123

Entry 2:
## Ce2Al4Cu3Pd (GGA-PBE)

Data for Ce2Al4Cu3Pd after structural relaxation.

Cell: 4.2574 4.2574 10.0905 Å, 90.00 90.00 90.00°
Last column: magnetic moment on the atom in μB.
Positions (direct):
Ce 0.5000 0.0000 0.2513  0.56
Ce 0.0000 0.5000 0.7487  0.56
Al 0.5000 0.5000 0.0000  0.00
Al 0.0000 0.0000 0.0000  0.00
Al 0.5000 0.0000 0.6299  0.00
Al 0.0000 0.5000 0.3701  0.00
Cu 0.0000 0.0000 0.5000  0.00
Cu 0.5000 0.0000 0.8703  0.00
Cu 0.0000 0.5000 0.1297  0.00
Pd 0.5000 0.5000 0.5000  0.00

Values from the calculation:
- Formation enthalpy at 0 K: -0.4610 eV per atom
- Crystal system: tetragonal
- Space group: No. 115

Entry 3:
## PuICl2 (GGA-PBE)

Data for PuICl2 after structural relaxation.

Cell: 4.0411 7.7156 8.7300 Å, 90.00 90.00 105.20°
Last column: magnetic moment on the atom in μB.
Positions (direct):
Pu 0.7358 0.4716 0.7500  5.10
Pu 0.2642 0.5284 0.2500  5.10
I 0.9228 0.8453 0.2500  -0.09
I 0.0772 0.1547 0.7500  -0.09
Cl 0.3260 0.6517 0.5731  -0.05
Cl 0.6740 0.3483 0.4269  -0.05
Cl 0.3260 0.6517 0.9269  -0.05
Cl 0.6740 0.3483 0.0731  -0.05

Values from the calculation:
- Crystal system: orthorhombic
- Space group: No. 63
- Formation energy (no corrections): -616.9 kJ/mol of formula units

Entry 4:
## Rb2SiAgSe4 (GGA-PBE)

Data for Rb2SiAgSe4 after structural relaxation.

Cell: 6.5614 7.8307 11.8465 Å, 83.34 73.92 65.23°
Positions (direct):
Rb 0.1806 0.0000 0.6389
Rb 0.8194 0.0000 0.3611
Rb 0.5694 0.5000 0.8611
Rb 0.9306 0.5000 0.1389
Si 0.2500 0.5000 0.5000
Si 0.5000 0.0000 0.0000
Ag 0.7500 0.5000 0.5000
Ag 0.0000 0.0000 0.0000
Se 0.3298 0.8098 0.1108
Se 0.2505 0.1902 0.8892
Se 0.8604 0.8098 0.8892
Se 0.5594 0.1902 0.1108
Se 0.4202 0.6902 0.3892
Se 0.4995 0.3098 0.6108
Se 0.8896 0.6902 0.6108
Se 0.1906 0.3098 0.3892

Values from the calculation:
- Crystal system: orthorhombic
- Space group: No. 70
- Formation energy (no corrections): -534.9 kJ/mol of formula units

Entry 5:
## Cd6C7 (GGA-PBE)

Data for Cd6C7 after structural relaxation.

Cell: 12.2048 12.2048 12.2048 Å, 24.47 24.47 24.47°
Last column: magnetic moment on the atom in μB.
Positions (direct):
C 0.5304 0.5304 0.2570  0.01
C 0.2570 0.5304 0.5304  0.01
C 0.5304 0.2570 0.5304  0.01
C 0.4696 0.4696 0.7430  0.01
C 0.4696 0.7430 0.4696  0.01
C 0.7430 0.4696 0.4696  0.01
C 0.5000 0.5000 0.5000  0.54
Cd 0.0450 0.0450 0.0450  0.00
Cd 0.9550 0.9550 0.9550  0.00
Cd 0.2235 0.2235 0.2235  0.00
Cd 0.7765 0.7765 0.7765  0.00
Cd 0.3151 0.3151 0.3151  -0.01
Cd 0.6849 0.6849 0.6849  -0.01

Values from the calculation:
- Formation enthalpy at 0 K: 1.4416 eV per atom
- Crystal system: trigonal
- Space group: No. 166

Entry 6:
## AlTcSN2 (GGA-PBE)

Data for AlTcSN2 after structural relaxation.

Cell: 3.7290 3.7290 4.6964 Å, 90.00 90.00 90.00°
Last column: magnetic moment on the atom in μB.
Positions (direct):
S 0.0000 0.0000 0.5000  -0.06
N 0.0000 0.5000 0.0000  -0.42
N 0.5000 0.0000 0.0000  -0.42
Tc 0.5000 0.5000 0.5000  2.75
Al 0.0000 0.0000 0.0000  0.01

Values from the calculation:
- Crystal system: tetragonal
- Space group: No. 123
- Formation energy (no corrections): 427.5 kJ/mol of formula units

Entry 7:
## AcTlHgO (GGA-PBE)

Data for AcTlHgO after structural relaxation.

Cell: 4.4046 4.4046 11.0785 Å, 90.00 90.00 90.00°
Positions (direct):
Ac 0.0000 0.5000 0.8924
Ac 0.5000 0.0000 0.1076
Tl 0.0000 0.0000 0.5000
Tl 0.5000 0.5000 0.5000
Hg 0.5000 0.0000 0.7215
Hg 0.0000 0.5000 0.2785
O 0.5000 0.5000 0.0000
O 0.0000 0.0000 0.0000

Values from the calculation:
- Crystal system: tetragonal
- Space group: No. 129
- Formation energy (no corrections): -585.1 kJ/mol of formula units

Entry 8:
## Tm2Mg2Pb3 (GGA-PBE)

Data for Tm2Mg2Pb3 after structural relaxation.

Cell: 4.9058 4.9436 8.9102 Å, 74.00 105.98 90.00°
Positions (direct):
Tm 0.6191 0.8798 0.2383
Tm 0.3809 0.1202 0.7617
Mg 0.8814 0.6193 0.7627
Mg 0.1186 0.3807 0.2373
Pb 0.0000 0.0000 0.0000
Pb 0.7435 0.2565 0.4870
Pb 0.2565 0.7435 0.5130

Values from the calculation:
- Formation enthalpy at 0 K: -0.1663 eV per atom
- Crystal system: monoclinic
- Space group: No. 12

Entry 9:
## RbNaIn4 (GGA-PBE)

Data for RbNaIn4 after structural relaxation.

Cell: 6.4334 6.4334 6.4334 Å, 60.00 60.00 60.00°
Positions (direct):
Na 0.0000 0.0000 0.0000
Rb 0.2500 0.2500 0.2500
In 0.6253 0.6253 0.1240
In 0.6253 0.1240 0.6253
In 0.6253 0.6253 0.6253
In 0.1240 0.6253 0.6253

Values from the calculation:
- Formation enthalpy at 0 K: -0.0731 eV per atom
- Crystal system: cubic
- Space group: No. 216

Entry 10:
## TlCoTe3 (GGA-PBE)

Data for TlCoTe3 after structural relaxation.

Cell: 5.2015 5.2015 5.2015 Å, 90.00 90.00 90.00°
Last column: magnetic moment on the atom in μB.
Positions (direct):
Tl 0.5000 0.5000 0.5000  0.02
Te 0.0000 0.5000 0.0000  0.11
Te 0.0000 0.0000 0.5000  0.06
Te 0.5000 0.0000 0.0000  0.16
Co 0.0000 0.0000 0.0000  1.08

Values from the calculation:
- Crystal system: cubic
- Space group: No. 221
- Formation energy (no corrections): 87.7 kJ/mol of formula units

Entry 11:
## Th7Tc2Pb2 (GGA-PBE)

Data for Th7Tc2Pb2 after structural relaxation.

Cell: 3.8128 9.9729 9.9729 Å, 61.61 78.98 78.98°
Positions (direct):
Th 0.8217 0.0765 0.2800
Th 0.8420 0.4238 0.8922
Th 0.5000 0.0380 0.9620
Th 0.6410 0.4565 0.2616
Th 0.3590 0.7384 0.5435
Th 0.1783 0.7200 0.9235
Th 0.1580 0.1078 0.5762
Tc 0.7259 0.8600 0.6881
Tc 0.2741 0.3119 0.1400
Pb 0.0000 0.7552 0.2448
Pb 0.5000 0.3657 0.6343

Values from the calculation:
- Formation enthalpy at 0 K: -0.1670 eV per atom
- Crystal system: orthorhombic
- Space group: No. 44

Entry 12:
## MnCdSi (GGA-PBE)

Data for MnCdSi after structural relaxation.

Cell: 3.9116 2.6811 4.8799 Å, 90.00 90.00 90.00°
Last column: magnetic moment on the atom in μB.
Positions (direct):
Si 0.0000 0.5000 0.0000  -0.08
Mn 0.5000 0.0000 0.0000  1.47
Cd 0.5000 0.5000 0.5000  -0.04

Values from the calculation:
- Crystal system: orthorhombic
- Space group: No. 47
- Formation energy (no corrections): 9.9 kJ/mol of formula units

What did the fifth record say?
## Cd6C7 (GGA-PBE)

Data for Cd6C7 after structural relaxation.

Cell: 12.2048 12.2048 12.2048 Å, 24.47 24.47 24.47°
Last column: magnetic moment on the atom in μB.
Positions (direct):
C 0.5304 0.5304 0.2570  0.01
C 0.2570 0.5304 0.5304  0.01
C 0.5304 0.2570 0.5304  0.01
C 0.4696 0.4696 0.7430  0.01
C 0.4696 0.7430 0.4696  0.01
C 0.7430 0.4696 0.4696  0.01
C 0.5000 0.5000 0.5000  0.54
Cd 0.0450 0.0450 0.0450  0.00
Cd 0.9550 0.9550 0.9550  0.00
Cd 0.2235 0.2235 0.2235  0.00
Cd 0.7765 0.7765 0.7765  0.00
Cd 0.3151 0.3151 0.3151  -0.01
Cd 0.6849 0.6849 0.6849  -0.01

Values from the calculation:
- Formation enthalpy at 0 K: 1.4416 eV per atom
- Crystal system: trigonal
- Space group: No. 166